No. 1
Cs3Cr5I12 | PBE | optimized geometry

Results
- SG: Ia-3d, No. 230
- Energy relative to the elements, uncorrected: -56 kJ per mole of atoms
- Crystal system: cubic

Cell: 16.3660 16.3660 16.3660 Å, 109.47 109.47 109.47°
Positions (direct):
Cs  0.7500  0.3750  0.1250
Cs  0.8750  0.7500  0.1250
Cs  0.3750  0.7500  0.6250
Cs  0.2500  0.1250  0.3750
Cs  0.8750  0.1250  0.2500
Cs  0.3750  0.6250  0.2500
Cs  0.6250  0.3750  0.7500
Cs  0.1250  0.8750  0.7500
Cs  0.7500  0.8750  0.6250
Cs  0.6250  0.2500  0.3750
Cs  0.1250  0.2500  0.8750
Cs  0.2500  0.6250  0.8750
Cr  0.1250  0.3750  0.2500
Cr  0.0000  0.5000  0.0000
Cr  0.0000  0.0000  0.0000
Cr  0.3750  0.2500  0.1250
Cr  0.5000  0.0000  0.5000
Cr  0.5000  0.5000  0.0000
Cr  0.1250  0.7500  0.3750
Cr  0.7500  0.1250  0.8750
Cr  0.7500  0.6250  0.3750
Cr  0.3750  0.1250  0.7500
Cr  0.6250  0.8750  0.2500
Cr  0.5000  0.5000  0.5000
Cr  0.5000  0.0000  0.0000
Cr  0.0000  0.0000  0.5000
Cr  0.2500  0.3750  0.6250
Cr  0.2500  0.8750  0.1250
Cr  0.0000  0.5000  0.5000
Cr  0.8750  0.2500  0.6250
Cr  0.6250  0.7500  0.8750
Cr  0.8750  0.6250  0.7500
I  0.6872  0.1038  0.0075
I  0.3203  0.5075  0.4037
I  0.9925  0.3962  0.3128
I  0.5075  0.1872  0.1038
I  0.5834  0.6872  0.6797
I  0.9925  0.5963  0.1797
I  0.3203  0.8128  0.4166
I  0.0963  0.9166  0.1038
I  0.5963  0.9925  0.6797
I  0.6872  0.5834  0.1797
I  0.8128  0.4925  0.3962
I  0.8203  0.9037  0.0075
I  0.1038  0.6872  0.5075
I  0.3962  0.4037  0.0834
I  0.0834  0.9037  0.3962
I  0.4166  0.1038  0.5963
I  0.0834  0.1797  0.1872
I  0.4925  0.6797  0.0963
I  0.8203  0.9166  0.3128
I  0.1038  0.4166  0.0963
I  0.3962  0.9925  0.8128
I  0.5963  0.6038  0.4166
I  0.9037  0.8203  0.5075
I  0.8128  0.3203  0.9166
I  0.4037  0.3962  0.5834
I  0.0963  0.1797  0.4925
I  0.1872  0.6797  0.0834
I  0.1797  0.0834  0.6872
I  0.6038  0.0075  0.1872
I  0.8962  0.5834  0.9037
I  0.5075  0.3203  0.9037
I  0.5834  0.8962  0.4037
I  0.9166  0.8203  0.8128
I  0.9166  0.0963  0.6038
I  0.8962  0.3128  0.4925
I  0.1797  0.0963  0.9925
I  0.6038  0.5963  0.9166
I  0.4037  0.0075  0.3203
I  0.3128  0.4166  0.8203
I  0.1872  0.5075  0.6038
I  0.9037  0.0834  0.8962
I  0.6797  0.1872  0.5834
I  0.4925  0.8128  0.8962
I  0.0075  0.4037  0.8203
I  0.4166  0.3128  0.3203
I  0.0075  0.6038  0.6872
I  0.6797  0.4925  0.5963
I  0.3128  0.8962  0.9925

---

No. 2
Mg2AgMo | PBE | optimized geometry

Results
- SG: Cmmm, No. 65
- E above lowest polymorph: 114 meV per atom
- Crystal system: orthorhombic
- ΔE_f: 225 meV per atom

Cell: 5.2724 5.2724 2.7408 Å, 90.00 90.00 110.22°
Positions (direct):
Ag  0.0000  0.5000  0.5000
Mg  0.0000  0.0000  0.0000
Mg  0.5000  0.5000  0.0000
Mo  0.5000  0.0000  0.5000

---

No. 3
Sr2LiTlRh2 | PBE | optimized geometry

Results
- SG: Ibam, No. 72
- Crystal system: orthorhombic
- ΔE_f: -195 meV per atom

Cell: 6.0042 6.3203 8.7895 Å, 111.07 109.97 90.00°
Positions (direct):
Sr  0.4268  0.1718  0.3437
Sr  0.5732  0.8282  0.6563
Sr  0.0831  0.3282  0.6563
Sr  0.9169  0.6718  0.3437
Li  0.0000  0.7500  0.0000
Li  0.0000  0.2500  0.0000
Tl  0.5000  0.7500  0.0000
Tl  0.5000  0.2500  0.0000
Rh  0.8751  0.1131  0.2262
Rh  0.3512  0.6131  0.2262
Rh  0.6488  0.3869  0.7738
Rh  0.1249  0.8869  0.7738

---

Copy entry 2 word for word.
Mg2AgMo | PBE | optimized geometry

Results
- SG: Cmmm, No. 65
- E above lowest polymorph: 114 meV per atom
- Crystal system: orthorhombic
- ΔE_f: 225 meV per atom

Cell: 5.2724 5.2724 2.7408 Å, 90.00 90.00 110.22°
Positions (direct):
Ag  0.0000  0.5000  0.5000
Mg  0.0000  0.0000  0.0000
Mg  0.5000  0.5000  0.0000
Mo  0.5000  0.0000  0.5000